# PBE Ac2LaHgSe5, relaxed
# Formation energy without anion corrections in eV per formula unit: -14.50
# DOS at the Fermi energy in states/eV/f.u.: 3.066
# VASP energy in eV/atom: -5.041
# Mass density in Mg/m³: 7.5
data_Ac2LaHgSe5
_symmetry_space_group_name_H-M 'C m c 21'
_symmetry_Int_Tables_number 36
_symmetry_space_group_name_Hall 'C 2c -2'
_cell_length_a 4.3653
_cell_length_b 18.1616
_cell_length_c 13.2606
_cell_angle_alpha 90.00
_cell_angle_beta 90.00
_cell_angle_gamma 90.00
loop_
_atom_site_label
_atom_site_fract_x
_atom_site_fract_y
_atom_site_fract_z
Ac1 0.0000 0.1226 0.0000
Ac2 0.0000 0.1261 0.6227
La1 0.0000 0.1901 0.3176
Hg1 0.0000 0.4549 0.7877
Se1 0.0000 0.0377 0.4107
Se2 0.0000 0.2969 0.9780
Se3 0.0000 0.3019 0.6539
Se4 0.0000 0.3566 0.3158
Se5 0.0000 0.4973 0.5938